(1)
Below is a relaxed structure of Y2TlPb2, with properties calculated at the PBE level. Values from VASP.

Properties
SG ... No. 127
Energy of formation from the pure elements ... -308 meV/atom
Distance to the lowest polymorph of the same formula ... 31 meV/atom
Fermi-level density of states ... 4.8 states/eV/cell
Calculated volume ... 151.2 Å³/f.u.

The structure in Quantum ESPRESSO input format:
```
&SYSTEM
  ibrav = 0, nat = 10, ntyp = 3
/
ATOMIC_SPECIES
Pb 207.20 Pb.upf
Y 88.91 Y.upf
Tl 204.38 Tl.upf
ATOMIC_POSITIONS crystal
Pb 0.1654 0.6654 0.5000
Pb 0.6654 0.8346 0.5000
Pb 0.8346 0.3346 0.5000
Pb 0.3346 0.1654 0.5000
Y 0.3638 0.8638 0.0000
Y 0.8638 0.6362 0.0000
Y 0.6362 0.1362 0.0000
Y 0.1362 0.3638 0.0000
Tl 0.0000 0.0000 0.0000
Tl 0.5000 0.5000 0.0000
CELL_PARAMETERS angstrom
-2.2715 0.8844 8.7283
-3.5140 -8.3530 -0.0681
3.2671 -1.3825 0.9903
```

***

(2)
Below is a relaxed structure of Sm2EuTm, with properties calculated at the PBE level. Values from VASP.

Properties
SG ... No. 225
Energy of formation from the pure elements ... 146 meV/atom
Distance to the lowest polymorph of the same formula ... 100 meV/atom
Fermi-level density of states ... 6.5 states/eV/cell
Calculated volume ... 136.9 Å³/f.u.

The structure in Quantum ESPRESSO input format:
```
&SYSTEM
  ibrav = 0, nat = 4, ntyp = 3
/
ATOMIC_SPECIES
Eu 151.96 Eu.upf
Tm 168.93 Tm.upf
Sm 150.36 Sm.upf
ATOMIC_POSITIONS crystal
Eu 0.0000 0.0000 0.0000
Tm 0.5000 0.5000 0.5000
Sm 0.2500 0.2500 0.2500
Sm 0.7500 0.7500 0.7500
CELL_PARAMETERS angstrom
-4.6346 -2.1770 2.6920
-0.1108 -5.5834 1.5097
0.3322 -1.4952 5.5785
```

***

(3)
Below is a relaxed structure of AlTl2Cd, with properties calculated at the PBE level. Values from VASP.

Properties
SG ... No. 44
Energy of formation from the pure elements ... 169 meV/atom
Fermi-level density of states ... 1.3 states/eV/cell
Calculated volume ... 105.2 Å³/f.u.

The structure in Quantum ESPRESSO input format:
```
&SYSTEM
  ibrav = 0, nat = 4, ntyp = 3
/
ATOMIC_SPECIES
Tl 204.38 Tl.upf
Al 26.98 Al.upf
Cd 112.41 Cd.upf
ATOMIC_POSITIONS crystal
Tl 0.0093 0.0093 0.0000
Tl 0.7189 0.2189 0.5000
Al 0.4879 0.4879 0.0000
Cd 0.2840 0.7840 0.5000
CELL_PARAMETERS angstrom
6.7457 0.1174 0.0542
3.6740 5.6586 -0.0542
-4.5024 -4.1642 2.8122
```

***

(4)
Below is a relaxed structure of KAlOs2, with properties calculated at the PBE level. Values from VASP.

Properties
SG ... No. 166
Energy of formation from the pure elements ... 500 meV/atom
Fermi-level density of states ... 1.1 states/eV/cell
Calculated volume ... 67.7 Å³/f.u.

The structure in Quantum ESPRESSO input format:
```
&SYSTEM
  ibrav = 0, nat = 4, ntyp = 3
/
ATOMIC_SPECIES
K 39.10 K.upf
Os 190.23 Os.upf
Al 26.98 Al.upf
ATOMIC_POSITIONS crystal
K 0.7500 0.7500 0.7500
Os 0.9848 0.9848 0.9848
Os 0.5152 0.5152 0.5152
Al 0.2500 0.2500 0.2500
CELL_PARAMETERS angstrom
9.9148 0.0009 0.0005
9.5114 2.7993 0.0005
9.5114 1.3710 2.4406
```

***

(5)
Below is a relaxed structure of EuCdCuAg, with properties calculated at the PBE level. Values from VASP.

Properties
SG ... No. 216
Energy of formation from the pure elements ... -121 meV/atom
Fermi-level density of states ... 7.9 states/eV/cell
Calculated volume ... 88.3 Å³/f.u.

The structure in Quantum ESPRESSO input format:
```
&SYSTEM
  ibrav = 0, nat = 4, ntyp = 4
/
ATOMIC_SPECIES
Eu 151.96 Eu.upf
Cu 63.55 Cu.upf
Ag 107.87 Ag.upf
Cd 112.41 Cd.upf
ATOMIC_POSITIONS crystal
Eu 0.2500 0.2500 0.2500
Cu 0.0000 0.0000 0.0000
Ag 0.5000 0.5000 0.5000
Cd 0.7500 0.7500 0.7500
CELL_PARAMETERS angstrom
-1.9931 2.4635 -3.8644
-2.5316 -2.4926 -3.5147
-4.9589 0.5144 -0.3459
```

***

(6)
Below is a relaxed structure of Li2TlIn, with properties calculated at the PBE level. Values from VASP.

Properties
SG ... No. 44
Energy of formation from the pure elements ... -194 meV/atom
Fermi-level density of states ... 1.6 states/eV/cell
Calculated volume ... 85.6 Å³/f.u.

The structure in Quantum ESPRESSO input format:
```
&SYSTEM
  ibrav = 0, nat = 4, ntyp = 3
/
ATOMIC_SPECIES
Tl 204.38 Tl.upf
Li 6.94 Li.upf
In 114.82 In.upf
ATOMIC_POSITIONS crystal
Tl 0.5051 0.5051 0.0000
Li 0.9975 0.9975 0.0000
Li 0.7511 0.2511 0.5000
In 0.2464 0.7464 0.5000
CELL_PARAMETERS angstrom
-5.5255 1.0525 -0.0428
-2.5679 -0.9636 -4.9110
3.2730 -2.6996 3.6933
```

***

(7)
Below is a relaxed structure of HoMgMnRu, with properties calculated at the PBE level. Values from VASP.

Properties
SG ... No. 216
Energy of formation from the pure elements ... 29 meV/atom
Fermi-level density of states ... 3.0 states/eV/cell
Calculated volume ... 72.2 Å³/f.u.

The structure in Quantum ESPRESSO input format:
```
&SYSTEM
  ibrav = 0, nat = 4, ntyp = 4
/
ATOMIC_SPECIES
Ru 101.07 Ru.upf
Mg 24.30 Mg.upf
Mn 54.94 Mn.upf
Ho 164.93 Ho.upf
ATOMIC_POSITIONS crystal
Ru 0.2500 0.2500 0.2500
Mg 0.0000 0.0000 0.0000
Mn 0.7500 0.7500 0.7500
Ho 0.5000 0.5000 0.5000
CELL_PARAMETERS angstrom
-3.2652 2.4158 -2.3143
-1.1791 -1.2387 -4.3507
-4.1793 -1.9223 -0.8315
```

***

(8)
Below is a relaxed structure of AlTc2Ru, with properties calculated at the PBE level. Values from VASP.

Properties
SG ... No. 123
Energy of formation from the pure elements ... 1 meV/atom
Distance to the lowest polymorph of the same formula ... 250 meV/atom
Fermi-level density of states ... 4.0 states/eV/cell
Calculated volume ... 57.4 Å³/f.u.

The structure in Quantum ESPRESSO input format:
```
&SYSTEM
  ibrav = 0, nat = 4, ntyp = 3
/
ATOMIC_SPECIES
Ru 101.07 Ru.upf
Tc 98.00 Tc.upf
Al 26.98 Al.upf
ATOMIC_POSITIONS crystal
Ru 0.0000 0.5000 0.5000
Tc 0.0000 0.0000 0.0000
Tc 0.5000 0.5000 0.0000
Al 0.5000 0.0000 0.5000
CELL_PARAMETERS angstrom
4.4882 0.0000 0.0000
0.0000 4.4882 0.0000
0.0000 0.0000 2.8510
```

***

(9)
Below is a relaxed structure of Te2RuPb, with properties calculated at the PBE level. Values from VASP.

Properties
SG ... No. 71
Fermi-level density of states ... 2.7 states/eV/cell
Calculated volume ... 104.9 Å³/f.u.
E_form (uncorrected) ... 111 meV/atom

The structure in Quantum ESPRESSO input format:
```
&SYSTEM
  ibrav = 0, nat = 4, ntyp = 3
/
ATOMIC_SPECIES
Pb 207.20 Pb.upf
Ru 101.07 Ru.upf
Te 127.60 Te.upf
ATOMIC_POSITIONS crystal
Pb 0.7500 0.2500 0.5000
Ru 0.2500 0.7500 0.5000
Te 0.0707 0.0707 0.0000
Te 0.4293 0.4293 0.0000
CELL_PARAMETERS angstrom
-6.4515 -0.0212 1.6749
-2.4053 -3.2270 5.3131
3.9337 4.6446 -2.7170
```

***

(10)
Below is a relaxed structure of KCoAu2, with properties calculated at the PBE level. Values from VASP.

Properties
SG ... No. 123
Energy of formation from the pure elements ... 191 meV/atom
Distance to the lowest polymorph of the same formula ... 0 meV/atom
Fermi-level density of states ... 2.7 states/eV/cell
Calculated volume ... 82.2 Å³/f.u.

The structure in Quantum ESPRESSO input format:
```
&SYSTEM
  ibrav = 0, nat = 4, ntyp = 3
/
ATOMIC_SPECIES
Au 196.97 Au.upf
Co 58.93 Co.upf
K 39.10 K.upf
ATOMIC_POSITIONS crystal
Au 0.0000 0.0000 0.0695
Au 0.0000 0.0000 0.4305
Co 0.5000 0.5000 0.2500
K 0.5000 0.5000 0.7500
CELL_PARAMETERS angstrom
-0.6629 -2.4801 -1.9025
2.9740 -1.0993 0.3965
-2.4235 -4.2525 6.3879
```

***

(11)
Below is a relaxed structure of TbSm2Dy3, with properties calculated at the PBE level. Values from VASP.

Properties
SG ... No. 15
Energy of formation from the pure elements ... 161 meV/atom
Distance to the lowest polymorph of the same formula ... 61 meV/atom
Fermi-level density of states ... 20.2 states/eV/cell
Calculated volume ... 197.8 Å³/f.u.

The structure in Quantum ESPRESSO input format:
```
&SYSTEM
  ibrav = 0, nat = 12, ntyp = 3
/
ATOMIC_SPECIES
Tb 158.93 Tb.upf
Sm 150.36 Sm.upf
Dy 162.50 Dy.upf
ATOMIC_POSITIONS crystal
Tb 0.5000 0.0000 0.0000
Tb 0.0000 0.0000 0.0000
Sm 0.6527 0.5853 0.1473
Sm 0.8473 0.8527 0.4147
Sm 0.1527 0.1473 0.5853
Sm 0.3473 0.4147 0.8527
Dy 0.7500 0.6081 0.3919
Dy 0.2500 0.3919 0.6081
Dy 0.9462 0.8498 0.6835
Dy 0.5538 0.3165 0.1502
Dy 0.0538 0.1502 0.3165
Dy 0.4462 0.6835 0.8498
CELL_PARAMETERS angstrom
3.8623 1.9245 4.1535
1.9911 10.3433 6.2877
-0.3395 2.8507 11.9265
```

***

(12)
Below is a relaxed structure of DyErSi, with properties calculated at the PBE level. Values from VASP.

Properties
SG ... No. 12
Distance to the lowest polymorph of the same formula ... 111 meV/atom
Fermi-level density of states ... 5.3 states/eV/cell
Calculated volume ... 73.2 Å³/f.u.
E_form (uncorrected) ... -353 meV/atom

The structure in Quantum ESPRESSO input format:
```
&SYSTEM
  ibrav = 0, nat = 6, ntyp = 3
/
ATOMIC_SPECIES
Dy 162.50 Dy.upf
Er 167.26 Er.upf
Si 28.09 Si.upf
ATOMIC_POSITIONS crystal
Dy 0.8501 0.5681 0.3865
Dy 0.0100 0.9828 0.7065
Er 0.7190 0.0377 0.1244
Er 0.1412 0.5132 0.9687
Si 0.4907 0.4550 0.6678
Si 0.3694 0.0959 0.4252
CELL_PARAMETERS angstrom
-0.2558 1.0863 -3.2643
1.1059 -4.8259 -1.6961
-7.9554 -1.5676 1.9257
```